Here is a geometry-optimized Na2Ga3Pb2 structure from the Alexandria database. Energies are from GGA-PBE.

## Properties
Total magnetization (μB/cell): 0.00
E_form (meV/atom): -81
Total DFT energy (no corrections) (eV for the cell shown): -19.7
SG: C2/m (12)

Cell lengths 4.6310, 6.6233, 6.9433 Å; angles 112.09, 90.00, 110.46 degrees
Positions (direct):
Pb: 0.1722 0.3443 0.2798
Ga: 0.4288 0.8577 0.5908
Ga: 0.5712 0.1423 0.4092
Ga: 0.5000 0.0000 0.0000
Na: 0.8681 0.7361 0.2251
Na: 0.1319 0.2639 0.7749
Pb: 0.8278 0.6557 0.7202

Here is a geometry-optimized NaGaPb3 structure from the Alexandria database. Energies are from GGA-PBE.

## Properties
Relative energy among the computed polymorphs (eV/atom): 0.207
Total magnetization (μB/cell): 0.00
E_form (meV/atom): 193
Total DFT energy (no corrections) (eV for the cell shown): -14.5
SG: Pm-3m (221)

Cell lengths 5.6087, 5.6087, 5.6087 Å; angles 90.00, 90.00, 90.00 degrees
Positions (direct):
Na: 0.5000 0.5000 0.5000
Pb: 0.5000 0.0000 0.0000
Pb: 0.0000 0.0000 0.5000
Ga: 0.0000 0.0000 0.0000
Pb: 0.0000 0.5000 0.0000

Here is a geometry-optimized Na3GaPb structure from the Alexandria database. Energies are from GGA-PBE.

## Properties
Relative energy among the computed polymorphs (eV/atom): 0.309
Total magnetization (μB/cell): 0.00
E_form (meV/atom): 309
Total DFT energy (no corrections) (eV for the cell shown): -9.1
SG: Pm-3m (221)

Cell lengths 5.8925, 5.8925, 5.8925 Å; angles 90.00, 90.00, 90.00 degrees
Positions (direct):
Na: 0.0000 0.5000 0.0000
Na: 0.0000 0.0000 0.5000
Pb: 0.0000 0.0000 0.0000
Ga: 0.5000 0.5000 0.5000
Na: 0.5000 0.0000 0.0000

Here is a geometry-optimized NaGaPb3 structure from the Alexandria database. Energies are from GGA-PBE.

## Properties
Relative energy among the computed polymorphs (eV/atom): 0.548
Total magnetization (μB/cell): 0.00
E_form (meV/atom): 533
Total DFT energy (no corrections) (eV for the cell shown): -12.8
SG: Pm-3m (221)

Cell lengths 5.5540, 5.5540, 5.5540 Å; angles 90.00, 90.00, 90.00 degrees
Positions (direct):
Pb: 0.0000 0.5000 0.0000
Na: 0.0000 0.0000 0.0000
Ga: 0.5000 0.5000 0.5000
Pb: 0.0000 0.0000 0.5000
Pb: 0.5000 0.0000 0.0000